Record 1
# ZrAlSi

A relaxed ZrAlSi crystal (PBE-GGA, Alexandria via LeMat-Bulk).

Unit cell a=5.5330 b=5.3813 c=3.2919 alpha=74.98 beta=69.94 gamma=35.07
Closest atoms and distances in Å follow each position.
Positions (direct):
Si (0.3463, 0.3463, 0.6537)  2 Al 2.53, 2 Zr 2.75
Al (0.9821, 0.9821, 0.0179)  2 Si 2.53
Zr (0.6716, 0.6716, 0.3284)  4 Si 2.75-3.04, 3 Al 2.84-3.07

Calculated values
Formation energy without anion corrections: -333 meV per atom
SG: Fmm2

Record 2
# Rb2ScSi4O10F

A relaxed Rb2ScSi4O10F crystal (PBE-GGA, Alexandria via LeMat-Bulk).

Unit cell a=9.1064 b=9.1064 c=9.1064 alpha=102.42 beta=102.42 gamma=124.75
Closest atoms and distances in Å follow each position.
Positions (direct):
F (0.0000, 0.0000, 0.0000)  2 Sc 2.04
F (0.5000, 0.5000, 0.0000)  2 Sc 2.18
O (0.2563, 0.4402, 0.1830)  1 Si 1.59
O (0.9603, 0.3218, 0.2821)  2 Si 1.64
O (0.5598, 0.7428, 0.8161)  1 Si 1.59
O (0.9267, 0.7437, 0.1839)  1 Si 1.59
O (0.6782, 0.9603, 0.6386)  2 Si 1.64
O (0.8334, 0.3342, 0.7315)  2 Si 1.65
O (0.1666, 0.6658, 0.2685)  2 Si 1.65
O (0.1019, 0.8334, 0.4992)  2 Si 1.65
O (0.7437, 0.5598, 0.8170)  1 Si 1.59
O (0.3973, 0.8981, 0.7315)  2 Si 1.65
O (0.0397, 0.6782, 0.7179)  2 Si 1.64
O (0.3342, 0.6027, 0.5008)  2 Si 1.65
O (0.2572, 0.0733, 0.8170)  1 Si 1.59
O (0.0733, 0.2563, 0.8161)  1 Si 1.59
O (0.6027, 0.1019, 0.2685)  2 Si 1.65
O (0.4402, 0.2572, 0.1839)  1 Si 1.59
O (0.6658, 0.3973, 0.4992)  2 Si 1.65
O (0.3218, 0.0397, 0.3614)  2 Si 1.64
O (0.8981, 0.1666, 0.5008)  2 Si 1.65
O (0.7428, 0.9267, 0.1830)  1 Si 1.59
Si (0.5035, 0.1981, 0.3221)  4 O 1.59-1.65
Si (0.1814, 0.5035, 0.3055)  4 O 1.59-1.65
Si (0.1241, 0.8186, 0.3221)  4 O 1.59-1.65
Si (0.8019, 0.1241, 0.3055)  4 O 1.59-1.65
Si (0.8759, 0.1814, 0.6779)  4 O 1.59-1.65
Si (0.8186, 0.4965, 0.6945)  4 O 1.59-1.65
Si (0.4965, 0.8019, 0.6779)  4 O 1.59-1.65
Si (0.1981, 0.8759, 0.6945)  4 O 1.59-1.65
Rb (0.6866, 0.6904, 0.3770)  7 O 2.96-3.08, 1 F 3.04
Rb (0.3134, 0.3096, 0.6230)  7 O 2.96-3.08, 1 F 3.04
Rb (0.6904, 0.3134, 0.0039)  7 O 2.96-3.08, 1 F 3.04
Rb (0.3096, 0.6866, 0.9961)  7 O 2.96-3.08, 1 F 3.04
Sc (0.2416, 0.2416, 0.0000)  2 F 2.04-2.18, 4 O 2.10
Sc (0.7584, 0.7584, 0.0000)  2 F 2.04-2.18, 4 O 2.10

Calculated values
Formation energy without anion corrections: -2874 meV per atom
SG: I4/m

Record 3
# FeMo2P

A relaxed FeMo2P crystal (PBE-GGA, Alexandria via LeMat-Bulk).

Unit cell a=4.8192 b=4.8192 c=4.8192 alpha=140.87 beta=129.42 gamma=65.75
Closest atoms and distances in Å follow each position.
Positions (direct):
Fe (0.2500, 0.7500, 0.5000)  4 P 2.62, 8 Mo 2.65-2.83
Mo (0.5094, 0.5094, 0.0000)  2 P 2.53, 4 Mo 2.62, 2 Fe 2.65
Mo (0.9906, 0.9906, 0.0000)  2 P 2.53, 4 Mo 2.62, 2 Fe 2.65
P (0.7500, 0.2500, 0.5000)  4 Mo 2.53, 4 Fe 2.62

Calculated values
SG: Immm
ΔH_f (0 K): -28 meV per atom

Record 4
# SrDy4S6

A relaxed SrDy4S6 crystal (PBE-GGA, Alexandria via LeMat-Bulk).

Unit cell a=3.9382 b=6.7735 c=20.1996 alpha=90.00 beta=90.00 gamma=106.90
Closest atoms and distances in Å follow each position.
Positions (direct):
S (0.9579, 0.9158, 0.6604)  3 Dy 2.72-2.73
S (0.6758, 0.3517, 0.7500)  2 Dy 2.66, 2 Sr 2.92
S (0.0421, 0.0842, 0.3396)  3 Dy 2.72-2.73
S (0.9579, 0.9158, 0.8396)  3 Dy 2.72-2.73
S (0.5000, 0.0000, 0.0000)  6 Dy 2.78-2.88
S (0.7696, 0.5392, 0.0855)  5 Dy 2.77-2.82
S (0.7696, 0.5392, 0.4145)  5 Dy 2.77-2.82
S (0.2304, 0.4608, 0.9145)  5 Dy 2.77-2.82
S (0.3242, 0.6483, 0.2500)  2 Dy 2.66, 2 Sr 2.92
S (0.2304, 0.4608, 0.5855)  5 Dy 2.77-2.82
S (0.5000, 0.0000, 0.5000)  6 Dy 2.78-2.88
S (0.0421, 0.0842, 0.1604)  3 Dy 2.72-2.73
Dy (0.8630, 0.7259, 0.5405)  6 S 2.72-2.82
Dy (0.8630, 0.7259, 0.9595)  6 S 2.72-2.82
Dy (0.1370, 0.2741, 0.4595)  6 S 2.72-2.82
Dy (0.4051, 0.8102, 0.1287)  6 S 2.66-2.88
Dy (0.5949, 0.1898, 0.8713)  6 S 2.66-2.88
Dy (0.5949, 0.1898, 0.6287)  6 S 2.66-2.88
Dy (0.4051, 0.8102, 0.3713)  6 S 2.66-2.88
Dy (0.1370, 0.2741, 0.0405)  6 S 2.72-2.82
Sr (0.3425, 0.6850, 0.7500)  6 S 2.92-3.06
Sr (0.6575, 0.3150, 0.2500)  6 S 2.92-3.06

Calculated values
Formation energy without anion corrections: -2075 meV per atom
SG: Cmcm

Record 5
# TbEr5ThSc2

A relaxed TbEr5ThSc2 crystal (PBE-GGA, Alexandria via LeMat-Bulk).

Unit cell a=5.5524 b=10.9400 c=9.4084 alpha=90.00 beta=90.00 gamma=104.70
Closest atoms and distances in Å follow each position.
Positions (direct):
Tb (0.1866, 0.3733, 0.0198)  2 Sc 3.13-3.29, 5 Er 3.35-3.45
Tb (0.8134, 0.6267, 0.5198)  2 Sc 3.13-3.29, 5 Er 3.35-3.45
Er (0.6056, 0.2112, 0.5418)  2 Er 3.21-3.49, 4 Sc 3.25-3.41, 1 Th 3.53
Er (0.7301, 0.4601, 0.8246)  1 Th 3.00, 1 Sc 3.26, 2 Er 3.35
Er (0.3044, 0.6089, 0.7172)  2 Tb 3.35, 4 Er 3.35-3.60, 3 Sc 3.42-3.65, 1 Th 3.56
Er (0.2699, 0.5399, 0.3246)  1 Th 3.00, 1 Sc 3.26, 2 Er 3.35
Er (0.0102, 0.0205, 0.0199)  2 Sc 3.21-3.51, 2 Th 3.44, 2 Er 3.51
Er (0.6956, 0.3911, 0.2172)  2 Tb 3.35, 4 Er 3.35-3.60, 3 Sc 3.42-3.65, 1 Th 3.56
Er (0.9898, 0.9795, 0.5199)  2 Sc 3.21-3.51, 2 Th 3.44, 2 Er 3.51
Er (0.4669, 0.9337, 0.7424)  2 Th 3.15-3.33, 5 Er 3.21-3.51, 2 Sc 3.39
Er (0.3944, 0.7888, 0.0418)  2 Er 3.21-3.49, 4 Sc 3.25-3.41, 1 Th 3.53
Er (0.5331, 0.0663, 0.2424)  2 Th 3.15-3.33, 5 Er 3.21-3.51, 2 Sc 3.39
Sc (0.1160, 0.2321, 0.3318)  8 Er 3.21-3.42, 1 Tb 3.29, 1 Sc 3.58
Sc (0.8840, 0.7679, 0.8318)  8 Er 3.21-3.42, 1 Tb 3.29, 1 Sc 3.58
Sc (0.1322, 0.2644, 0.7104)  1 Tb 3.13, 3 Er 3.25-3.51, 2 Th 3.48
Sc (0.8678, 0.7356, 0.2104)  1 Tb 3.13, 3 Er 3.25-3.51, 2 Th 3.48
Th (0.5941, 0.1883, 0.9160)  3 Er 3.00-3.33
Th (0.4059, 0.8117, 0.4160)  3 Er 3.00-3.33

Calculated values
SG: Cmc2_1
ΔH_f (0 K): 182 meV per atom

Record 6
# Th5Si2Sb

A relaxed Th5Si2Sb crystal (PBE-GGA, Alexandria via LeMat-Bulk).

Unit cell a=7.8912 b=7.8912 c=9.0394 alpha=115.88 beta=115.88 gamma=90.00
Closest atoms and distances in Å follow each position.
Positions (direct):
Sb (0.2500, 0.2500, 0.5000)  10 Th 3.35-3.56
Sb (0.7500, 0.7500, 0.5000)  10 Th 3.35-3.56
Th (0.4799, 0.3011, 0.2809)  3 Si 3.05-3.07, 2 Sb 3.35
Th (0.1989, 0.0201, 0.7191)  3 Si 3.05-3.07, 2 Sb 3.35
Th (0.0000, 0.0000, 0.0000)  4 Si 3.08
Th (0.8011, 0.9799, 0.2809)  3 Si 3.05-3.07, 2 Sb 3.35
Th (0.9799, 0.4799, 0.2809)  3 Si 3.05-3.07, 2 Sb 3.35
Th (0.5000, 0.5000, 0.0000)  4 Si 3.08
Th (0.6989, 0.1989, 0.7191)  3 Si 3.05-3.07, 2 Sb 3.35
Th (0.5201, 0.6989, 0.7191)  3 Si 3.05-3.07, 2 Sb 3.35
Th (0.3011, 0.8011, 0.2809)  3 Si 3.05-3.07, 2 Sb 3.35
Th (0.0201, 0.5201, 0.7191)  3 Si 3.05-3.07, 2 Sb 3.35
Si (0.6331, 0.1331, 0.0000)  1 Si 2.97, 8 Th 3.05-3.08
Si (0.1331, 0.3669, 0.0000)  1 Si 2.97, 8 Th 3.05-3.08
Si (0.3669, 0.8669, 0.0000)  1 Si 2.97, 8 Th 3.05-3.08
Si (0.8669, 0.6331, 0.0000)  1 Si 2.97, 8 Th 3.05-3.08

Calculated values
Formation energy without anion corrections: -623 meV per atom
SG: I4/mcm

Record 7
# Rb2CSF

A relaxed Rb2CSF crystal (PBE-GGA, Alexandria via LeMat-Bulk).

Unit cell a=5.7321 b=4.2049 c=5.7321 alpha=90.00 beta=90.00 gamma=90.00
Closest atoms and distances in Å follow each position.
Positions (direct):
Rb (0.0000, 0.0000, 0.5000)  2 F 2.87
Rb (0.5000, 0.0000, 0.0000)  2 F 2.87
F (0.0000, 0.0000, 0.0000)  2 S 2.10
S (0.0000, 0.5000, 0.0000)  2 F 2.10
C (0.5000, 0.5000, 0.5000)  8 Rb 3.55

Calculated values
Formation energy without anion corrections: 282 meV per atom
SG: P4/mmm

Record 8
# LiAc3O

A relaxed LiAc3O crystal (PBE-GGA, Alexandria via LeMat-Bulk).

Unit cell a=5.3574 b=5.3574 c=5.3574 alpha=90.00 beta=90.00 gamma=90.00
Closest atoms and distances in Å follow each position.
Positions (direct):
O (0.0000, 0.0000, 0.0000)  6 Ac 2.68
Ac (0.0000, 0.0000, 0.5000)  2 O 2.68
Ac (0.5000, 0.0000, 0.0000)  2 O 2.68
Ac (0.0000, 0.5000, 0.0000)  2 O 2.68
Li (0.5000, 0.5000, 0.5000)  12 Ac 3.79

Calculated values
Formation energy without anion corrections: -948 meV per atom
SG: Pm-3m

Record 9
# RuI2F

A relaxed RuI2F crystal (PBE-GGA, Alexandria via LeMat-Bulk).

Unit cell a=6.7467 b=6.7467 c=6.7824 alpha=60.17 beta=60.17 gamma=90.00
Closest atoms and distances in Å follow each position.
Positions (direct):
Ru (0.7500, 0.2500, 0.5000)  4 I 2.54
Ru (0.0000, 0.0000, 0.0000)  4 I 2.54
F (0.5000, 0.5000, 0.0000)  4 I 2.82
F (0.2500, 0.7500, 0.5000)  4 I 2.82
I (0.3750, 0.3413, 0.7500)  2 Ru 2.54, 2 F 2.82
I (0.0913, 0.6250, 0.2500)  2 Ru 2.54, 2 F 2.82
I (0.8750, 0.9087, 0.7500)  2 Ru 2.54, 2 F 2.82
I (0.6587, 0.1250, 0.2500)  2 Ru 2.54, 2 F 2.82

Calculated values
Formation energy without anion corrections: -73 meV per atom
Excess energy over the best structure of this formula in the dataset: 0 meV/atom
SG: I-42d

Record 10
# InOs2Se

A relaxed InOs2Se crystal (PBE-GGA, Alexandria via LeMat-Bulk).

Unit cell a=3.0196 b=5.1710 c=5.5190 alpha=50.23 beta=90.00 gamma=90.00
Closest atoms and distances in Å follow each position.
Positions (direct):
Os (0.5000, 0.5000, 0.0000)  4 In 2.73, 2 Se 2.76, 6 Os 2.99-3.02
Os (0.0000, 0.0000, 0.0000)  4 Se 2.73, 2 In 2.76, 6 Os 2.99-3.02
In (0.0000, 0.0000, 0.5000)  6 Os 2.73-2.76, 4 Se 2.99, 2 In 3.02
Se (0.5000, 0.5000, 0.5000)  6 Os 2.73-2.76, 4 In 2.99, 2 Se 3.02

Calculated values
Formation energy without anion corrections: 699 meV per atom
Excess energy over the best structure of this formula in the dataset: 378 meV/atom
SG: P2/m

Record 11
# TmScCo

A relaxed TmScCo crystal (PBE-GGA, Alexandria via LeMat-Bulk).

Unit cell a=4.2412 b=4.8704 c=6.3511 alpha=97.33 beta=93.36 gamma=89.86
Closest atoms and distances in Å follow each position.
Positions (direct):
Tm (0.9786, 0.5579, 0.2521)  4 Co 2.67-2.98
Tm (0.0214, 0.4421, 0.7479)  4 Co 2.67-2.98
Co (0.0000, 0.0000, 0.0000)  4 Sc 2.52-2.77
Co (0.5000, 0.5000, 0.5000)  2 Sc 2.52, 4 Tm 2.67-2.68
Sc (0.4847, 0.0529, 0.2505)  3 Co 2.52-2.77
Sc (0.5153, 0.9471, 0.7495)  3 Co 2.52-2.77

Calculated values
Excess energy over the best structure of this formula in the dataset: 137 meV/atom
SG: P-1
ΔH_f (0 K): -107 meV per atom